Compound: BaAl2Sb3
Source: the Alexandria database
Functional: PBE
Structure: relaxed

abc: 13.4564 13.4564 7.1259
angles: 102.68 102.68 18.46
Last column: nearest neighbours and their distance in Å.
Positions (direct):
Ba  0.1401  0.1401  0.3928  7 Sb 3.53-3.78, 1 Al 3.53
Ba  0.8599  0.8599  0.6072  7 Sb 3.53-3.78, 1 Al 3.53
Al  0.2061  0.2061  0.0141  4 Sb 2.70-2.77
Al  0.4437  0.4437  0.0430  4 Sb 2.70-2.77
Al  0.5563  0.5563  0.9570  4 Sb 2.70-2.77
Al  0.7939  0.7939  0.9859  4 Sb 2.70-2.77
Sb  0.1045  0.1045  0.8490  3 Al 2.70-2.71
Sb  0.2649  0.2649  0.7433  3 Al 2.74-2.77
Sb  0.4677  0.4677  0.6840  2 Al 2.70-2.77
Sb  0.5323  0.5323  0.3160  2 Al 2.70-2.77
Sb  0.7351  0.7351  0.2567  3 Al 2.74-2.77
Sb  0.8955  0.8955  0.1510  3 Al 2.70-2.71

Calculated values
SG: No. 12

Compound: Zr3Ag2Hg4
Source: the Alexandria database
Functional: PBE
Structure: relaxed

abc: 5.7389 5.7389 8.9421
angles: 121.04 121.04 50.16
Last column: nearest neighbours and their distance in Å.
Positions (direct):
Zr  0.0000  0.0000  0.0000  2 Zr 3.03, 8 Hg 3.15-3.26, 4 Ag 3.19
Zr  0.3344  0.3344  0.3348  2 Zr 3.00-3.03, 8 Hg 3.15-3.22, 4 Ag 3.16-3.21
Zr  0.6656  0.6656  0.6652  2 Zr 3.00-3.03, 8 Hg 3.15-3.22, 4 Ag 3.16-3.21
Ag  0.3902  0.3902  0.7214  5 Hg 2.78-2.99
Ag  0.6098  0.6098  0.2786  5 Hg 2.78-2.99
Hg  0.0612  0.0612  0.3905  3 Ag 2.78-2.99, 2 Hg 2.88-3.10
Hg  0.2838  0.2838  0.9444  2 Ag 2.78-2.98, 3 Hg 2.86-3.10
Hg  0.7162  0.7162  0.0556  2 Ag 2.78-2.98, 3 Hg 2.86-3.10
Hg  0.9388  0.9388  0.6095  3 Ag 2.78-2.99, 2 Hg 2.88-3.10

Calculated values
ΔE_f: -0.085 eV per atom
SG: No. 12

Compound: Tb2TmTi
Source: the Alexandria database
Functional: PBE
Structure: relaxed

abc: 4.7899 4.7899 4.7233
angles: 90.00 90.00 90.00
Last column: nearest neighbours and their distance in Å.
Positions (direct):
Tb  0.0000  0.5000  0.0000  4 Tm 3.36, 4 Ti 3.36, 4 Tb 3.39
Tb  0.5000  0.0000  0.0000  4 Tm 3.36, 4 Ti 3.36, 4 Tb 3.39
Tm  0.0000  0.0000  0.5000  8 Tb 3.36, 4 Ti 3.39
Ti  0.5000  0.5000  0.5000  8 Tb 3.36, 4 Tm 3.39

Calculated values
energy relative to the lowest polymorph listed for this composition: 0.032 eV per atom
ΔE_f: 0.200 eV per atom
SG: No. 123

Compound: K3Pm2PrSe6
Source: the Alexandria database
Functional: PBE
Structure: relaxed

abc: 7.5181 7.5181 8.1047
angles: 98.89 98.89 120.00
Last column: nearest neighbours and their distance in Å.
Positions (direct):
K  0.0000  0.0000  0.0000  6 Se 3.34-3.36
K  0.3337  0.6663  0.0000  6 Se 3.34-3.36
K  0.6663  0.3337  0.0000  6 Se 3.34-3.36
Pm  0.1667  0.8333  0.5000  6 Se 2.97-2.98
Pm  0.8333  0.1667  0.5000  6 Se 2.97-2.98
Pr  0.5000  0.5000  0.5000  6 Se 3.01
Se  0.0931  0.4298  0.2894  2 Pm 2.97, 1 Pr 3.01
Se  0.2335  0.2335  0.7106  2 Pm 2.98, 1 Pr 3.01
Se  0.4298  0.0931  0.2894  2 Pm 2.97, 1 Pr 3.01
Se  0.5702  0.9069  0.7106  2 Pm 2.97, 1 Pr 3.01
Se  0.7665  0.7665  0.2894  2 Pm 2.98, 1 Pr 3.01
Se  0.9069  0.5702  0.7106  2 Pm 2.97, 1 Pr 3.01

Calculated values
SG: No. 12

Compound: Cs3UBr6
Source: the Alexandria database
Functional: PBE
Structure: relaxed

abc: 8.5453 9.0780 14.8131
angles: 90.00 124.43 90.00
Last column: nearest neighbours and their distance in Å.
Positions (direct):
Cs  0.0000  0.0000  0.0000  6 Br 3.57-3.66
Cs  0.0000  0.5000  0.5000  6 Br 3.57-3.66
Cs  0.2194  0.0708  0.7456  6 Br 3.65-3.98
Cs  0.2194  0.4292  0.2456  6 Br 3.65-3.98
Cs  0.7806  0.5708  0.7544  6 Br 3.65-3.98
Cs  0.7806  0.9292  0.2544  6 Br 3.65-3.98
U  0.5000  0.0000  0.5000  6 Br 2.92-2.94
U  0.5000  0.5000  0.0000  6 Br 2.92-2.94
Br  0.1724  0.1754  0.4479  1 U 2.92
Br  0.1724  0.3246  0.9479  1 U 2.92
Br  0.2643  0.7334  0.4290  1 U 2.94
Br  0.2643  0.7666  0.9290  1 U 2.94
Br  0.3976  0.0504  0.2781  1 U 2.92
Br  0.3976  0.4496  0.7781  1 U 2.92
Br  0.6024  0.5504  0.2219  1 U 2.92
Br  0.6024  0.9496  0.7219  1 U 2.92
Br  0.7357  0.2334  0.0710  1 U 2.94
Br  0.7357  0.2666  0.5710  1 U 2.94
Br  0.8276  0.6754  0.0521  1 U 2.92
Br  0.8276  0.8246  0.5521  1 U 2.92

Calculated values
energy relative to the lowest polymorph listed for this composition: 0.000 eV per atom
SG: No. 14

Compound: Pm2Tm8Zr
Source: the Alexandria database
Functional: PBE
Structure: relaxed

abc: 9.2340 9.2340 7.7962
angles: 104.46 104.46 30.87
Last column: nearest neighbours and their distance in Å.
Positions (direct):
Pm  0.2266  0.2266  0.1353  2 Pm 3.48, 10 Tm 3.51-3.58
Pm  0.7734  0.7734  0.8647  2 Pm 3.48, 10 Tm 3.51-3.58
Tm  0.0437  0.0437  0.2367  9 Tm 3.34-3.61, 2 Zr 3.42, 1 Pm 3.54
Tm  0.1303  0.1303  0.6717  7 Tm 3.34-3.63, 2 Zr 3.41, 3 Pm 3.58
Tm  0.3223  0.3223  0.5910  1 Zr 3.42, 8 Tm 3.44-3.63, 3 Pm 3.51-3.52
Tm  0.4122  0.4122  0.0575  1 Zr 3.40, 8 Tm 3.43-3.58, 3 Pm 3.51-3.53
Tm  0.5878  0.5878  0.9425  1 Zr 3.40, 8 Tm 3.43-3.58, 3 Pm 3.51-3.53
Tm  0.6777  0.6777  0.4090  1 Zr 3.42, 8 Tm 3.44-3.63, 3 Pm 3.51-3.52
Tm  0.8697  0.8697  0.3283  7 Tm 3.34-3.63, 2 Zr 3.41, 3 Pm 3.58
Tm  0.9563  0.9563  0.7633  9 Tm 3.34-3.61, 2 Zr 3.42, 1 Pm 3.54
Zr  0.5000  0.5000  0.5000  12 Tm 3.40-3.42

Calculated values
ΔE_f: 0.040 eV per atom
SG: No. 12

Compound: NaZr2Os
Source: the Alexandria database
Functional: PBE
Structure: relaxed

abc: 6.1933 6.1933 6.1933
angles: 103.85 103.85 121.41
Last column: nearest neighbours and their distance in Å.
Positions (direct):
Na  0.0000  0.0000  0.0000  8 Zr 3.03-3.37, 2 Os 3.03
Na  0.7500  0.2500  0.5000  8 Zr 3.03-3.37, 2 Os 3.03
Zr  0.1659  0.1250  0.5409  2 Os 2.60
Zr  0.3750  0.8341  0.9591  2 Os 2.60
Zr  0.5841  0.6250  0.4591  2 Os 2.60
Zr  0.8750  0.4159  0.0409  2 Os 2.60
Os  0.2500  0.7500  0.5000  4 Zr 2.60
Os  0.5000  0.5000  0.0000  4 Zr 2.60

Calculated values
ΔE_f: 0.511 eV per atom
SG: No. 122

Compound: Li5GaAu8
Source: the Alexandria database
Functional: PBE
Structure: relaxed

abc: 6.7575 6.7575 6.7575
angles: 110.02 110.02 108.39
Last column: nearest neighbours and their distance in Å.
Positions (direct):
Li  0.0000  0.0000  0.0000  8 Au 2.51-2.72
Li  0.2946  0.1976  0.6629  8 Au 2.68-2.82
Li  0.3683  0.7054  0.9030  8 Au 2.68-2.82
Li  0.5347  0.6317  0.3371  8 Au 2.68-2.82
Li  0.8024  0.4653  0.0970  8 Au 2.68-2.82
Ga  0.7500  0.2500  0.5000  4 Au 2.60
Au  0.0191  0.7623  0.5967  5 Li 2.72-2.79, 4 Au 2.87-2.96
Au  0.0731  0.3410  0.9143  4 Li 2.51-2.76, 1 Ga 2.60
Au  0.1656  0.4225  0.4033  5 Li 2.72-2.79, 4 Au 2.87-2.96
Au  0.2377  0.8344  0.2569  5 Li 2.72-2.79, 4 Au 2.87-2.96
Au  0.4268  0.1588  0.0857  4 Li 2.51-2.76, 1 Ga 2.60
Au  0.5775  0.9809  0.7431  5 Li 2.72-2.79, 4 Au 2.87-2.96
Au  0.6590  0.5732  0.7320  4 Li 2.51-2.76, 1 Ga 2.60
Au  0.8412  0.9269  0.2680  4 Li 2.51-2.76, 1 Ga 2.60

Calculated values
ΔE_f: -0.351 eV per atom
SG: No. 82

Compound: Tb2SmPuN4
Source: the Alexandria database
Functional: PBE
Structure: relaxed

abc: 6.0688 3.5190 6.0731
angles: 90.00 109.37 90.00
Last column: nearest neighbours and their distance in Å.
Positions (direct):
Tb  0.0000  0.0000  0.0000  6 N 2.45-2.46
Tb  0.0000  0.5000  0.5000  6 N 2.52-2.53
Sm  0.5000  0.0000  0.5000  6 N 2.50-2.51
Pu  0.5000  0.5000  0.0000  6 N 2.43-2.45
N  0.2505  0.5000  0.2408  1 Pu 2.43, 3 Tb 2.46-2.53, 2 Sm 2.51
N  0.2553  0.0000  0.7600  2 Pu 2.45, 3 Tb 2.45-2.52, 1 Sm 2.50
N  0.7447  0.0000  0.2400  2 Pu 2.45, 3 Tb 2.45-2.52, 1 Sm 2.50
N  0.7495  0.5000  0.7592  1 Pu 2.43, 3 Tb 2.46-2.53, 2 Sm 2.51

Calculated values
SG: No. 10

Compound: K2RhPb
Source: the Alexandria database
Functional: PBE
Structure: relaxed

abc: 3.2339 3.2339 11.0242
angles: 90.00 90.00 90.00
Last column: nearest neighbours and their distance in Å.
Positions (direct):
K  0.0000  0.0000  0.2148  4 K 3.23, 4 Rh 3.29
K  0.0000  0.0000  0.7852  4 K 3.23, 4 Rh 3.29
Rh  0.5000  0.5000  0.0000  4 Rh 3.23, 8 K 3.29
Pb  0.5000  0.5000  0.5000  4 Pb 3.23

Calculated values
ΔE_f: 0.462 eV per atom
SG: No. 123

Number 1: VASP energy -0.2905 Ry per atom, total magnetization 0.00 μB/cell. Number 2: VASP energy -0.2721 Ry per atom, total magnetization 0.00 μB/cell. Number 3: VASP energy -0.3827 Ry per atom, total magnetization 0.02 μB/cell. Number 4: VASP energy -0.3648 Ry per atom, total magnetization 0.00 μB/cell. Number 5: VASP energy -0.2952 Ry per atom, total magnetization 6.00 μB/cell. Number 6: VASP energy -0.3567 Ry per atom, total magnetization 0.00 μB/cell. Number 7: VASP energy -0.5072 Ry per atom, total magnetization 0.00 μB/cell. Number 8: VASP energy -0.2296 Ry per atom, total magnetization 0.00 μB/cell. Number 9: VASP energy -0.6766 Ry per atom, total magnetization 4.71 μB/cell. Number 10: VASP energy -0.2096 Ry per atom, total magnetization 0.70 μB/cell.